Entry 1:
Here is a crystal of La2YNb relaxed with PBEsol from the Alexandria database. Energies are from meta-GGA SCAN.

```
La2YNb
1.0
7.5438 0.0000 0.0000
0.0000 7.5438 0.0000
0.0000 0.0000 7.5438
La Y Nb
8 4 4
Cartesian
1.8860 1.8860 1.8860 La
1.8860 1.8860 5.6579 La
1.8860 5.6579 1.8860 La
1.8860 5.6579 5.6579 La
5.6579 1.8860 1.8860 La
5.6579 1.8860 5.6579 La
5.6579 5.6579 1.8860 La
5.6579 5.6579 5.6579 La
0.0000 0.0000 0.0000 Y
0.0000 3.7719 3.7719 Y
3.7719 0.0000 3.7719 Y
3.7719 3.7719 0.0000 Y
0.0000 0.0000 3.7719 Nb
0.0000 3.7719 0.0000 Nb
3.7719 0.0000 0.0000 Nb
3.7719 3.7719 3.7719 Nb
```

Uncorrected energy = -36.417 eV per atom
Magnetic moment = 0.0 μB per formula unit
Symmetry = Fm-3m, No. 225
V = 429 Å³ per cell
ΔE_f = 379 meV/atom

***

Entry 2:
Here is a crystal of CoCuTe2 relaxed with PBEsol from the Alexandria database. Energies are from meta-GGA SCAN.

```
CoCuTe2
1.0
3.0998 0.0000 0.0000
0.0000 3.3170 0.0000
0.0000 0.0000 6.8738
Co Cu Te
1 1 2
Cartesian
0.0000 0.0000 0.0000 Co
0.0000 0.0000 3.4369 Cu
1.5499 1.6585 1.5850 Te
1.5499 1.6585 5.2888 Te
```

Uncorrected energy = -26.236 eV per atom
Magnetic moment = 0.0 μB per formula unit
Formation energy from raw total energies = 0.515 eV/atom
Symmetry = Pmmm, No. 47
V = 71 Å³ per cell
Energy above the lowest structure with this stoichiometry = 216.7 meV per atom

***

Entry 3:
Here is a crystal of Sr2CuP relaxed with PBEsol from the Alexandria database. Energies are from meta-GGA SCAN.

```
Sr2CuP
1.0
4.5108 0.0000 0.0000
-2.2554 3.9065 0.0000
0.0000 0.0000 20.0979
Sr Cu P
6 3 3
Cartesian
0.0000 0.0000 4.8357 Sr
0.0000 0.0000 15.2622 Sr
0.0000 2.6043 8.5629 Sr
0.0000 2.6043 18.2343 Sr
2.2554 1.3022 1.8636 Sr
2.2554 1.3022 11.5350 Sr
0.0000 0.0000 0.0000 Cu
0.0000 2.6043 13.3986 Cu
2.2554 1.3022 6.6993 Cu
0.0000 0.0000 10.0489 P
0.0000 2.6043 3.3497 P
2.2554 1.3022 16.7482 P
```

Uncorrected energy = -18.093 eV per atom
Magnetic moment = 0.0 μB per formula unit
Symmetry = R-3m, No. 166
V = 354 Å³ per cell
ΔE_f = -555 meV/atom

***

Entry 4:
Here is a crystal of PtRh2 relaxed with PBEsol from the Alexandria database. Energies are from meta-GGA SCAN.

```
PtRh2
1.0
2.6980 0.0000 0.0000
0.0000 2.6980 0.0000
0.0000 0.0000 11.4810
Pt Rh
2 4
Cartesian
0.0000 0.0000 0.0000 Pt
1.3490 1.3490 5.7405 Pt
0.0000 0.0000 3.7794 Rh
0.0000 0.0000 7.7015 Rh
1.3490 1.3490 1.9610 Rh
1.3490 1.3490 9.5199 Rh
```

Uncorrected energy = -45.943 eV per atom
Magnetic moment = 0.0 μB per formula unit
Symmetry = I4/mmm, No. 139
V = 84 Å³ per cell
ΔE_f = -31 meV/atom
Energy above the lowest structure with this stoichiometry = 3.2 meV per atom

***

Entry 5:
Here is a crystal of CaBiO3 relaxed with PBEsol from the Alexandria database. Energies are from meta-GGA SCAN.

```
CaBiO3
1.0
6.0105 0.0000 0.0000
0.0000 8.3157 0.0000
0.0000 0.0000 5.7544
Ca Bi O
4 4 12
Cartesian
0.3498 2.0789 0.1052 Ca
2.6555 6.2368 2.9825 Ca
3.3551 2.0789 2.7720 Ca
5.6607 6.2368 5.6492 Ca
0.0000 0.0000 2.8772 Bi
0.0000 4.1578 2.8772 Bi
3.0053 0.0000 0.0000 Bi
3.0053 4.1578 0.0000 Bi
0.3963 6.2368 2.1033 O
1.1800 4.7516 4.6474 O
1.1800 7.7220 4.6474 O
1.8253 0.5937 1.7701 O
1.8253 3.5641 1.7701 O
2.6090 2.0789 4.9806 O
3.4016 6.2368 0.7739 O
4.1852 4.7516 3.9843 O
4.1852 7.7220 3.9843 O
4.8306 0.5937 1.1071 O
4.8306 3.5641 1.1071 O
5.6142 2.0789 3.6511 O
```

Uncorrected energy = -23.282 eV per atom
Magnetic moment = 0.0 μB per formula unit
Formation energy from raw total energies = -1.895 eV/atom
Symmetry = Pnma, No. 62
V = 288 Å³ per cell

***

Entry 6:
Here is a crystal of FeBrCl2 relaxed with PBEsol from the Alexandria database. Energies are from meta-GGA SCAN.

```
FeBrCl2
1.0
5.9146 0.0000 0.0000
0.0000 3.3336 0.0000
-2.9423 0.0000 5.6090
Fe Br Cl
1 1 2
Cartesian
0.0000 0.0000 0.0000 Fe
-0.6092 1.6668 1.7500 Br
-0.8135 0.0000 5.5754 Cl
2.3490 1.6668 4.0815 Cl
```

Uncorrected energy = -14.220 eV per atom
Magnetic moment = 5.0 μB per formula unit
Formation energy from raw total energies = -0.834 eV/atom
Symmetry = Pm, No. 6
V = 111 Å³ per cell
Energy above the lowest structure with this stoichiometry = 0.0 meV per atom

***

Entry 7:
Here is a crystal of NaSn2Cl5 relaxed with PBEsol from the Alexandria database. Energies are from meta-GGA SCAN.

```
NaSn2Cl5
1.0
8.0386 0.0000 0.0000
0.0000 11.9371 0.0000
0.0000 0.0000 8.4841
Na Sn Cl
4 8 20
Cartesian
0.0000 0.0000 2.0922 Na
0.0000 0.0000 6.3918 Na
4.0193 5.9685 2.1498 Na
4.0193 5.9685 6.3343 Na
0.2487 3.9134 4.2420 Sn
0.2578 3.8947 0.0000 Sn
3.7614 9.8632 4.2420 Sn
3.7706 9.8820 0.0000 Sn
4.2680 2.0551 0.0000 Sn
4.2771 2.0739 4.2420 Sn
7.7807 8.0424 0.0000 Sn
7.7899 8.0237 4.2420 Sn
0.0000 5.9685 2.4371 Cl
0.0000 5.9685 6.0470 Cl
1.3091 10.6764 0.0000 Cl
1.3653 2.4731 1.9203 Cl
1.3653 2.4731 6.5637 Cl
1.4755 11.0772 4.2420 Cl
2.5438 5.1087 0.0000 Cl
2.6540 8.4416 2.3217 Cl
2.6540 8.4416 6.1624 Cl
2.7102 4.7078 4.2420 Cl
4.0193 0.0000 1.8049 Cl
4.0193 0.0000 6.6792 Cl
5.3284 7.2292 4.2420 Cl
5.3846 3.4954 2.3217 Cl
5.3846 3.4954 6.1624 Cl
5.4947 6.8284 0.0000 Cl
6.5631 0.8599 4.2420 Cl
6.6732 9.4640 1.9203 Cl
6.6732 9.4640 6.5637 Cl
6.7295 1.2607 0.0000 Cl
```

Uncorrected energy = -15.788 eV per atom
Magnetic moment = 0.0 μB per formula unit
Formation energy from raw total energies = -1.294 eV/atom
Symmetry = Pnnm, No. 58
V = 814 Å³ per cell

***

Entry 8:
Here is a crystal of BaCaAg2 relaxed with PBEsol from the Alexandria database. Energies are from meta-GGA SCAN.

```
BaCaAg2
1.0
3.8250 0.0000 0.0000
0.0000 3.8250 0.0000
0.0000 0.0000 7.5905
Ba Ca Ag
1 1 2
Cartesian
0.0000 0.0000 0.0000 Ba
0.0000 0.0000 3.7952 Ca
1.9125 1.9125 2.2550 Ag
1.9125 1.9125 5.3355 Ag
```

Uncorrected energy = -28.257 eV per atom
Magnetic moment = 0.0 μB per formula unit
Symmetry = P4/mmm, No. 123
V = 111 Å³ per cell
ΔE_f = -270 meV/atom
Energy above the lowest structure with this stoichiometry = 2.0 meV per atom

***

Entry 9:
Here is a crystal of RbHN2F relaxed with PBEsol from the Alexandria database. Energies are from meta-GGA SCAN.

```
RbHN2F
1.0
3.3555 0.0000 0.0000
0.0000 3.3555 0.0000
0.0000 0.0000 5.9913
Rb H N F
1 1 2 1
Cartesian
0.0000 0.0000 0.0000 Rb
1.6777 1.6777 2.9956 H
0.0000 1.6777 2.9956 N
1.6777 0.0000 2.9956 N
1.6777 1.6777 0.0000 F
```

Uncorrected energy = -8.216 eV per atom
Magnetic moment = 2.8 μB per formula unit
Symmetry = P4/mmm, No. 123
V = 67 Å³ per cell

***

Entry 10:
Here is a crystal of HgPt2Cl relaxed with PBEsol from the Alexandria database. Energies are from meta-GGA SCAN.

```
HgPt2Cl
1.0
4.0593 0.0000 0.0000
0.0000 4.0593 0.0000
0.0000 0.0000 8.2372
Hg Pt Cl
2 4 2
Cartesian
0.0000 0.0000 0.0000 Hg
2.0296 2.0296 4.1186 Hg
0.0000 2.0296 2.0593 Pt
0.0000 2.0296 6.1779 Pt
2.0296 0.0000 2.0593 Pt
2.0296 0.0000 6.1779 Pt
0.0000 0.0000 4.1186 Cl
2.0296 2.0296 0.0000 Cl
```

Uncorrected energy = -53.554 eV per atom
Magnetic moment = 0.0 μB per formula unit
Formation energy from raw total energies = 0.579 eV/atom
Symmetry = I4/mmm, No. 139
V = 136 Å³ per cell
Energy above the lowest structure with this stoichiometry = 48.8 meV per atom

***

Entry 11:
Here is a crystal of LiTc4Rh relaxed with PBEsol from the Alexandria database. Energies are from meta-GGA SCAN.

```
LiTc4Rh
1.0
0.0000 3.5377 3.5377
3.5377 0.0000 3.5377
3.5377 3.5377 0.0000
Li Tc Rh
1 4 1
Cartesian
0.0000 0.0000 0.0000 Li
4.4279 2.6476 2.6476 Tc
2.6476 4.4279 2.6476 Tc
2.6476 2.6476 4.4279 Tc
4.4279 4.4279 4.4279 Tc
1.7689 1.7689 1.7689 Rh
```

Uncorrected energy = -29.046 eV per atom
Magnetic moment = 0.0 μB per formula unit
Symmetry = F-43m, No. 216
V = 89 Å³ per cell
ΔE_f = 355 meV/atom

***

Entry 12:
Here is a crystal of Hf2Tl2Zn relaxed with PBEsol from the Alexandria database. Energies are from meta-GGA SCAN.

```
Hf2Tl2Zn
1.0
4.0228 0.0000 0.0000
0.0000 4.0228 0.0000
0.0000 0.0000 14.4427
Hf Tl Zn
4 4 2
Cartesian
0.0000 0.0000 1.3365 Hf
0.0000 0.0000 13.1062 Hf
2.0114 2.0114 5.8848 Hf
2.0114 2.0114 8.5579 Hf
0.0000 2.0114 3.6107 Tl
0.0000 2.0114 10.8320 Tl
2.0114 0.0000 3.6107 Tl
2.0114 0.0000 10.8320 Tl
0.0000 0.0000 7.2214 Zn
2.0114 2.0114 0.0000 Zn
```

Uncorrected energy = -56.145 eV per atom
Magnetic moment = 0.0 μB per formula unit
Symmetry = I4/mmm, No. 139
V = 234 Å³ per cell
ΔE_f = 570 meV/atom

***

Entry 13:
Here is a crystal of NaMnC3 relaxed with PBEsol from the Alexandria database. Energies are from meta-GGA SCAN.

```
NaMnC3
1.0
4.0274 0.0000 0.0000
0.0000 4.0274 0.0000
0.0000 0.0000 4.0274
Na Mn C
1 1 3
Cartesian
0.0000 0.0000 0.0000 Na
2.0137 2.0137 2.0137 Mn
0.0000 0.0000 2.0137 C
0.0000 2.0137 0.0000 C
2.0137 0.0000 0.0000 C
```

Uncorrected energy = -7.038 eV per atom
Magnetic moment = 3.6 μB per formula unit
Symmetry = Pm-3m, No. 221
V = 65 Å³ per cell
ΔE_f = 3516 meV/atom

***

Entry 14:
Here is a crystal of LiTaBi2 relaxed with PBEsol from the Alexandria database. Energies are from meta-GGA SCAN.

```
LiTaBi2
1.0
6.6777 0.0000 0.0000
0.0000 6.6777 0.0000
0.0000 0.0000 11.9516
Li Ta Bi
4 4 8
Cartesian
0.0000 0.0000 0.0000 Li
0.0000 3.3388 2.9879 Li
3.3388 0.0000 8.9637 Li
3.3388 3.3388 5.9758 Li
0.0000 0.0000 5.9758 Ta
0.0000 3.3388 8.9637 Ta
3.3388 0.0000 2.9879 Ta
3.3388 3.3388 0.0000 Ta
1.5448 5.0083 7.4698 Bi
1.6694 1.5448 4.4819 Bi
1.6694 1.7940 10.4577 Bi
1.7940 5.0083 1.4940 Bi
4.8836 1.6694 1.4940 Bi
5.0083 4.8836 10.4577 Bi
5.0083 5.1329 4.4819 Bi
5.1329 1.6694 7.4698 Bi
```

Uncorrected energy = -55.974 eV per atom
Magnetic moment = 0.0 μB per formula unit
Symmetry = I-42d, No. 122
V = 533 Å³ per cell
ΔE_f = 559 meV/atom

***

Entry 15:
Here is a crystal of MgSbCl2 relaxed with PBEsol from the Alexandria database. Energies are from meta-GGA SCAN.

```
MgSbCl2
1.0
3.2925 0.0000 0.0000
0.0000 4.5552 0.0000
0.0000 0.0000 5.7790
Mg Sb Cl
1 1 2
Cartesian
0.0000 0.0000 0.0000 Mg
1.6462 0.0000 2.8895 Sb
0.0000 2.2776 2.8895 Cl
1.6462 2.2776 0.0000 Cl
```

Uncorrected energy = -15.182 eV per atom
Magnetic moment = 0.0 μB per formula unit
Formation energy from raw total energies = -0.634 eV/atom
Symmetry = Pmmm, No. 47
V = 87 Å³ per cell
Energy above the lowest structure with this stoichiometry = 345.4 meV per atom

***

Entry 16:
Here is a crystal of Zn2OsSe relaxed with PBEsol from the Alexandria database. Energies are from meta-GGA SCAN.

```
Zn2OsSe
1.0
2.8328 0.0000 0.0000
0.0000 4.6406 0.0000
0.0000 0.0000 9.6082
Zn Os Se
4 2 2
Cartesian
0.0000 0.0000 2.1605 Zn
0.0000 0.0000 7.4478 Zn
1.4164 2.3203 2.1605 Zn
1.4164 2.3203 7.4478 Zn
0.0000 2.3203 0.0000 Os
1.4164 0.0000 0.0000 Os
0.0000 2.3203 4.8041 Se
1.4164 0.0000 4.8041 Se
```

Uncorrected energy = -29.300 eV per atom
Magnetic moment = 0.7 μB per formula unit
Formation energy from raw total energies = 0.447 eV/atom
Symmetry = Cmmm, No. 65
V = 126 Å³ per cell

***

Entry 17:
Here is a crystal of KMnF3 relaxed with PBEsol from the Alexandria database. Energies are from meta-GGA SCAN.

```
KMnF3
1.0
5.8796 0.0000 0.0000
0.0000 8.3275 0.0000
-0.0220 0.0000 5.9005
K Mn F
4 4 12
Cartesian
0.0670 2.0819 2.9332 K
2.8336 6.2457 5.8948 K
3.0239 2.0819 0.0057 K
5.7906 6.2457 2.9673 K
0.0000 0.0000 0.0000 Mn
0.0000 4.1638 0.0000 Mn
2.9288 0.0000 2.9502 Mn
2.9288 4.1638 2.9502 Mn
0.0793 6.2457 0.2515 F
1.3207 4.3103 4.2925 F
1.3207 8.1810 4.2925 F
1.5957 0.2229 1.3442 F
1.5957 3.9409 1.3442 F
2.8999 6.2457 2.6941 F
2.9576 2.0819 3.2064 F
4.2618 4.3866 4.5563 F
4.2618 8.1047 4.5563 F
4.5368 0.1465 1.6079 F
4.5368 4.0173 1.6079 F
5.7782 2.0819 5.6489 F
```

Uncorrected energy = -10.424 eV per atom
Magnetic moment = 5.0 μB per formula unit
Formation energy from raw total energies = -2.983 eV/atom
Symmetry = P2_1/m, No. 11
V = 289 Å³ per cell

***

Entry 18:
Here is a crystal of GdFe3B4O12 relaxed with PBEsol from the Alexandria database. Energies are from meta-GGA SCAN.

```
GdFe3B4O12
1.0
9.4659 0.0000 0.0000
-4.7329 8.1977 0.0000
0.0000 0.0000 7.4086
Gd Fe B O
3 9 12 36
Cartesian
-3.1201 5.4041 1.2348 Gd
1.6129 2.7935 3.7043 Gd
6.2402 0.0000 6.1738 Gd
-0.4950 0.8573 1.2348 Fe
0.9899 0.0000 6.1738 Fe
-0.5837 4.5267 6.2618 Fe
-0.5208 6.4398 3.7923 Fe
1.1045 5.4288 1.3227 Fe
4.2121 1.7579 1.1468 Fe
4.1493 3.6710 6.0859 Fe
5.8374 2.7688 3.6163 Fe
4.2380 7.3404 3.7043 Fe
-1.0484 1.8159 4.9391 B
-3.1942 5.5325 4.9391 B
-0.9114 3.5856 2.5677 B
2.0968 0.0000 2.4695 B
-1.1721 7.1942 0.0982 B
1.5388 2.6652 0.0000 B
3.5609 1.0035 4.8409 B
2.0834 5.6156 5.0373 B
6.3883 0.0000 2.4695 B
3.8216 4.6121 2.3713 B
3.6845 6.3818 0.0000 B
6.8164 2.5820 7.3104 B
-0.3487 0.6040 4.9391 O
-3.9023 6.7591 4.9391 O
-2.1399 3.8419 7.2573 O
0.6974 0.0000 2.4695 O
-0.2633 2.3964 2.3077 O
-1.8276 5.5547 5.0347 O
-0.3080 2.9579 5.1004 O
-2.5260 7.2275 7.2467 O
0.8306 1.4386 0.0000 O
-2.0173 6.9855 2.6309 O
-0.0604 4.6498 2.8463 O
-0.6758 5.9251 0.3768 O
2.2069 0.9702 5.1009 O
0.8362 3.8376 0.0957 O
2.7156 1.2122 2.3082 O
0.7363 5.8204 5.3158 O
-0.3358 8.1299 4.7877 O
2.9054 2.6429 7.3129 O
4.3971 0.0677 0.1514 O
2.4757 4.4235 2.3182 O
0.9914 7.0030 2.5652 O
2.5930 4.3558 5.0904 O
4.0571 2.2726 4.5623 O
2.3254 6.4520 0.1613 O
5.7243 1.1947 2.3739 O
2.7893 6.7715 4.7772 O
4.6725 3.5479 2.0928 O
5.4692 2.3772 7.0319 O
4.4249 5.2398 7.2473 O
7.8047 0.0000 2.4695 O
4.4697 5.8013 2.6314 O
7.0583 1.7457 4.7777 O
5.5691 4.3601 4.8434 O
7.5222 1.4262 0.1619 O
4.3842 7.5937 0.0000 O
7.2086 3.7742 2.6209 O
```

Uncorrected energy = -13.276 eV per atom
Magnetic moment = 2.0 μB per formula unit
Formation energy from raw total energies = -2.391 eV/atom
Symmetry = P3_121, No. 152
V = 575 Å³ per cell

***

Entry 19:
Here is a crystal of Re2TcBr relaxed with PBEsol from the Alexandria database. Energies are from meta-GGA SCAN.

```
Re2TcBr
1.0
2.8665 0.0000 0.0000
0.0000 3.8154 0.0000
0.0000 0.0000 5.9776
Re Tc Br
2 1 1
Cartesian
0.0000 0.0000 0.0000 Re
1.4332 1.9077 1.1334 Re
0.0000 0.0000 2.4936 Tc
1.4332 1.9077 3.7667 Br
```

Uncorrected energy = -48.249 eV per atom
Magnetic moment = 0.0 μB per formula unit
Formation energy from raw total energies = 0.930 eV/atom
Symmetry = Pmm2, No. 25
V = 65 Å³ per cell
Energy above the lowest structure with this stoichiometry = 307.6 meV per atom

***

Entry 20:
Here is a crystal of LiCaTlMo2 relaxed with PBEsol from the Alexandria database. Energies are from meta-GGA SCAN.

```
LiCaTlMo2
1.0
4.6393 0.0000 0.0000
0.0000 4.6393 0.0000
0.0000 0.0000 5.5066
Li Ca Tl Mo
1 1 1 2
Cartesian
0.0000 0.0000 0.0000 Li
2.3196 2.3196 2.7533 Ca
2.3196 2.3196 0.0000 Tl
0.0000 2.3196 2.7533 Mo
2.3196 0.0000 2.7533 Mo
```

Uncorrected energy = -28.651 eV per atom
Magnetic moment = 1.7 μB per formula unit
Symmetry = P4/mmm, No. 123
V = 119 Å³ per cell
ΔE_f = 2185 meV/atom